[1]
# DyIn3Te4, relaxed, DFT PBE
data_DyIn3Te4
_chemical_formula_sum 'Dy3 In9 Te12'
_cell_length_a 4.4038
_cell_length_b 4.4038
_cell_length_c 47.0469
_cell_angle_alpha 90.00
_cell_angle_beta 90.00
_cell_angle_gamma 120.00
_symmetry_space_group_name_H-M 'R -3 m'
_symmetry_Int_Tables_number 166
_symmetry_space_group_name_Hall '-R 3 2"'
loop_
_atom_site_label
_atom_site_type_symbol
_atom_site_fract_x
_atom_site_fract_y
_atom_site_fract_z
Dy1 Dy 0.0000 0.0000 0.0000
In1 In 0.0000 0.0000 0.2473
In2 In 0.0000 0.0000 0.5000
Te1 Te 0.0000 0.0000 0.1298
Te2 Te 0.0000 0.0000 0.3711
# raw formation energy	-0.60	eV/atom
# magnetization	0.00	Bohr magnetons per cell
# E_tot	-3.777	eV per atom
# volume	790.2	Å³ per cell

[2]
# Dy7In2Te2, relaxed, DFT PBE
data_Dy7In2Te2
_chemical_formula_sum 'Dy14 In4 Te4'
_cell_length_a 8.2796
_cell_length_b 10.9819
_cell_length_c 7.4802
_cell_angle_alpha 90.00
_cell_angle_beta 90.00
_cell_angle_gamma 90.00
_symmetry_space_group_name_H-M 'C m m m'
_symmetry_Int_Tables_number 65
_symmetry_space_group_name_Hall '-C 2 2'
loop_
_atom_site_label
_atom_site_type_symbol
_atom_site_fract_x
_atom_site_fract_y
_atom_site_fract_z
Dy1 Dy 0.0000 0.0000 0.0000
Dy2 Dy 0.0000 0.5000 0.2670
Dy3 Dy 0.2500 0.2500 0.2808
In1 In 0.1752 0.0000 0.5000
Te1 Te 0.0000 0.2807 0.0000
# raw formation energy	-0.37	eV/atom
# magnetization	0.00	Bohr magnetons per cell
# E_tot	-4.367	eV per atom
# volume	680.1	Å³ per cell

[3]
# Dy4In3Te8, relaxed, DFT PBE
data_Dy4In3Te8
_chemical_formula_sum 'Dy8 In6 Te16'
_cell_length_a 12.6741
_cell_length_b 12.5670
_cell_length_c 8.7928
_cell_angle_alpha 90.00
_cell_angle_beta 133.74
_cell_angle_gamma 90.00
_symmetry_space_group_name_H-M 'C 1 2/m 1'
_symmetry_Int_Tables_number 12
loop_
_symmetry_equiv_pos_as_xyz
'x,y,z'
'-x,-y,-z'
'-x,y,-z'
'x,-y,z'
'x+1/2,y+1/2,z'
'-x+1/2,-y+1/2,-z'
'-x+1/2,y+1/2,-z'
'x+1/2,-y+1/2,z'
loop_
_atom_site_label
_atom_site_type_symbol
_atom_site_fract_x
_atom_site_fract_y
_atom_site_fract_z
Dy1 Dy 0.0000 0.0000 0.0000
Dy2 Dy 0.0000 0.0000 0.5000
Dy3 Dy 0.2500 0.2500 0.0000
In1 In 0.0000 0.5000 0.5000
In2 In 0.2500 0.2500 0.5000
Te1 Te 0.0000 0.2439 0.5000
Te2 Te 0.0000 0.2487 0.0000
Te3 Te 0.2332 0.0000 0.4845
Te4 Te 0.2423 0.0000 0.9888
# raw formation energy	-0.95	eV/atom
# magnetization	0.00	Bohr magnetons per cell
# E_tot	-4.404	eV per atom
# volume	1011.9	Å³ per cell

[4]
# Dy5In2Te, relaxed, DFT PBE
data_Dy5In2Te
_chemical_formula_sum 'Dy10 In4 Te2'
_cell_length_a 7.5763
_cell_length_b 7.5763
_cell_length_c 7.7896
_cell_angle_alpha 90.00
_cell_angle_beta 90.00
_cell_angle_gamma 90.00
_symmetry_space_group_name_H-M 'I 4 m m'
_symmetry_Int_Tables_number 107
_symmetry_space_group_name_Hall 'I 4 -2'
loop_
_atom_site_label
_atom_site_type_symbol
_atom_site_fract_x
_atom_site_fract_y
_atom_site_fract_z
Dy1 Dy 0.0000 0.0000 0.0000
Dy2 Dy 0.2343 0.2343 0.2929
In1 In 0.0000 0.5000 0.0314
Te1 Te 0.0000 0.0000 0.6025
# raw formation energy	-0.42	eV/atom
# magnetization	0.00	Bohr magnetons per cell
# E_tot	-4.372	eV per atom
# volume	447.1	Å³ per cell

[5]
# Dy2In2Te7, relaxed, DFT PBE
data_Dy2In2Te7
_chemical_formula_sum 'Dy4 In4 Te14'
_cell_length_a 9.1964
_cell_length_b 13.3449
_cell_length_c 7.7114
_cell_angle_alpha 90.00
_cell_angle_beta 112.15
_cell_angle_gamma 90.00
_symmetry_space_group_name_H-M 'C 1 2/m 1'
_symmetry_Int_Tables_number 12
loop_
_symmetry_equiv_pos_as_xyz
'x,y,z'
'-x,-y,-z'
'-x,y,-z'
'x,-y,z'
'x+1/2,y+1/2,z'
'-x+1/2,-y+1/2,-z'
'-x+1/2,y+1/2,-z'
'x+1/2,-y+1/2,z'
loop_
_atom_site_label
_atom_site_type_symbol
_atom_site_fract_x
_atom_site_fract_y
_atom_site_fract_z
Dy1 Dy 0.0000 0.1918 0.0000
In1 In 0.2420 0.0000 0.6337
Te1 Te 0.0000 0.5000 0.5000
Te2 Te 0.1544 0.0000 0.2300
Te3 Te 0.2090 0.1884 0.7654
# raw formation energy	-0.63	eV/atom
# magnetization	0.00	Bohr magnetons per cell
# E_tot	-3.960	eV per atom
# volume	876.6	Å³ per cell

[6]
# Dy2InTe4, relaxed, DFT PBE
data_Dy2InTe4
_chemical_formula_sum 'Dy4 In2 Te8'
_cell_length_a 16.2967
_cell_length_b 4.3499
_cell_length_c 7.7325
_cell_angle_alpha 90.00
_cell_angle_beta 115.79
_cell_angle_gamma 90.00
_symmetry_space_group_name_H-M 'C 1 2/m 1'
_symmetry_Int_Tables_number 12
loop_
_symmetry_equiv_pos_as_xyz
'x,y,z'
'-x,-y,-z'
'-x,y,-z'
'x,-y,z'
'x+1/2,y+1/2,z'
'-x+1/2,-y+1/2,-z'
'-x+1/2,y+1/2,-z'
'x+1/2,-y+1/2,z'
loop_
_atom_site_label
_atom_site_type_symbol
_atom_site_fract_x
_atom_site_fract_y
_atom_site_fract_z
Dy1 Dy 0.2400 0.0000 0.2215
In1 In 0.0000 0.5000 0.5000
Te1 Te 0.1222 0.5000 0.9547
Te2 Te 0.1387 0.0000 0.4821
# raw formation energy	-1.03	eV/atom
# magnetization	0.00	Bohr magnetons per cell
# E_tot	-4.529	eV per atom
# volume	493.6	Å³ per cell

[7]
# Dy3InTe, relaxed, DFT PBE
data_Dy3InTe
_chemical_formula_sum 'Dy12 In4 Te4'
_cell_length_a 9.0034
_cell_length_b 6.3567
_cell_length_c 10.4742
_cell_angle_alpha 90.00
_cell_angle_beta 104.44
_cell_angle_gamma 90.00
_symmetry_space_group_name_H-M 'P 1 21/c 1'
_symmetry_Int_Tables_number 14
loop_
_symmetry_equiv_pos_as_xyz
'x,y,z'
'-x,-y,-z'
'-x,y+1/2,-z+1/2'
'x,-y+1/2,z+1/2'
loop_
_atom_site_label
_atom_site_type_symbol
_atom_site_fract_x
_atom_site_fract_y
_atom_site_fract_z
Dy1 Dy 0.0315 0.0771 0.2916
Dy2 Dy 0.1800 0.6568 0.5350
Dy3 Dy 0.4099 0.2192 0.8730
In1 In 0.3557 0.7174 0.8317
Te1 Te 0.1877 0.1761 0.5852
# raw formation energy	-0.55	eV/atom
# magnetization	0.00	Bohr magnetons per cell
# E_tot	-4.488	eV per atom
# volume	580.5	Å³ per cell
# distance to the lowest polymorph of the same formula	0.1390	eV/atom

[8]
# Dy2InTe, relaxed, DFT PBE
data_Dy2InTe
_chemical_formula_sum 'Dy8 In4 Te4'
_cell_length_a 4.4989
_cell_length_b 23.7670
_cell_length_c 4.2867
_cell_angle_alpha 90.00
_cell_angle_beta 90.00
_cell_angle_gamma 90.00
_symmetry_space_group_name_H-M 'C m c m'
_symmetry_Int_Tables_number 63
_symmetry_space_group_name_Hall '-C 2c 2'
loop_
_atom_site_label
_atom_site_type_symbol
_atom_site_fract_x
_atom_site_fract_y
_atom_site_fract_z
Dy1 Dy 0.0000 0.0647 0.2500
Dy2 Dy 0.0000 0.3252 0.2500
In1 In 0.0000 0.4566 0.2500
Te1 Te 0.0000 0.1936 0.2500
# raw formation energy	-0.91	eV/atom
# magnetization	0.00	Bohr magnetons per cell
# E_tot	-4.682	eV per atom
# volume	458.4	Å³ per cell
# distance to the lowest polymorph of the same formula	0.0000	eV/atom

[9]
# DyIn3Te6, relaxed, DFT PBE
data_DyIn3Te6
_chemical_formula_sum 'Dy2 In6 Te12'
_cell_length_a 12.1923
_cell_length_b 4.3918
_cell_length_c 12.8901
_cell_angle_alpha 90.00
_cell_angle_beta 111.04
_cell_angle_gamma 90.00
_symmetry_space_group_name_H-M 'P 1 21/m 1'
_symmetry_Int_Tables_number 11
loop_
_symmetry_equiv_pos_as_xyz
'x,y,z'
'-x,-y,-z'
'-x,y+1/2,-z'
'x,-y+1/2,z'
loop_
_atom_site_label
_atom_site_type_symbol
_atom_site_fract_x
_atom_site_fract_y
_atom_site_fract_z
Dy1 Dy 0.2045 0.2500 0.0505
In1 In 0.0278 0.7500 0.2977
In2 In 0.3371 0.2500 0.4386
In3 In 0.4012 0.7500 0.8309
Te1 Te 0.0365 0.7500 0.9055
Te2 Te 0.1063 0.2500 0.4584
Te3 Te 0.2297 0.2500 0.8068
Te4 Te 0.2387 0.7500 0.2452
Te5 Te 0.4056 0.7500 0.0680
Te6 Te 0.4374 0.7500 0.6048
# raw formation energy	-0.50	eV/atom
# magnetization	0.00	Bohr magnetons per cell
# E_tot	-3.666	eV per atom
# volume	644.2	Å³ per cell

[10]
# Dy2InTe, relaxed, DFT PBE
data_Dy2InTe
_chemical_formula_sum 'Dy6 In3 Te3'
_cell_length_a 4.0307
_cell_length_b 4.0307
_cell_length_c 25.3868
_cell_angle_alpha 90.00
_cell_angle_beta 90.00
_cell_angle_gamma 120.00
_symmetry_space_group_name_H-M 'R 3 m'
_symmetry_Int_Tables_number 160
_symmetry_space_group_name_Hall 'R 3 -2"'
loop_
_atom_site_label
_atom_site_type_symbol
_atom_site_fract_x
_atom_site_fract_y
_atom_site_fract_z
Dy1 Dy 0.0000 0.0000 0.0000
Dy2 Dy 0.0000 0.0000 0.1770
In1 In 0.0000 0.0000 0.7556
Te1 Te 0.0000 0.0000 0.5875
# raw formation energy	-0.75	eV/atom
# magnetization	0.00	Bohr magnetons per cell
# E_tot	-4.522	eV per atom
# volume	357.2	Å³ per cell
# distance to the lowest polymorph of the same formula	0.1599	eV/atom

[11]
# Dy5InTe4, relaxed, DFT PBE
data_Dy5InTe4
_chemical_formula_sum 'Dy10 In2 Te8'
_cell_length_a 9.7882
_cell_length_b 9.7882
_cell_length_c 6.1680
_cell_angle_alpha 90.00
_cell_angle_beta 90.00
_cell_angle_gamma 90.00
_symmetry_space_group_name_H-M 'I 4/m'
_symmetry_Int_Tables_number 87
_symmetry_space_group_name_Hall '-I 4'
loop_
_atom_site_label
_atom_site_type_symbol
_atom_site_fract_x
_atom_site_fract_y
_atom_site_fract_z
Dy1 Dy 0.0000 0.0000 0.0000
Dy2 Dy 0.0979 0.2915 0.5000
In1 In 0.0000 0.0000 0.5000
Te1 Te 0.0964 0.3022 0.0000
# raw formation energy	-1.14	eV/atom
# magnetization	0.00	Bohr magnetons per cell
# E_tot	-4.976	eV per atom
# volume	590.9	Å³ per cell

[12]
# DyInTe, relaxed, DFT PBE
data_DyInTe
_chemical_formula_sum 'Dy6 In6 Te6'
_cell_length_a 4.6033
_cell_length_b 4.6033
_cell_length_c 33.9244
_cell_angle_alpha 90.00
_cell_angle_beta 90.00
_cell_angle_gamma 120.00
_symmetry_space_group_name_H-M 'R -3 m'
_symmetry_Int_Tables_number 166
_symmetry_space_group_name_Hall '-R 3 2"'
loop_
_atom_site_label
_atom_site_type_symbol
_atom_site_fract_x
_atom_site_fract_y
_atom_site_fract_z
Dy1 Dy 0.0000 0.0000 0.0700
In1 In 0.0000 0.0000 0.3465
Te1 Te 0.0000 0.0000 0.2210
# raw formation energy	-0.71	eV/atom
# magnetization	0.00	Bohr magnetons per cell
# E_tot	-4.204	eV per atom
# volume	622.6	Å³ per cell